(1)
VASP calculation (PBE) on an optimized crystal structure of Sm4Cd2Ag3.

Results
- DOS at the Fermi energy: 0.923 states/eV/atom
- Crystal system: monoclinic
- Electronic total energy: -3.489 eV/atom

a = 5.6622 Å, b = 5.6622 Å, c = 9.2415 Å
α = 101.84°, β = 101.84°, γ = 52.95°
Closest atoms and distances in Å follow each position.
Fractional positions:
Sm  0.0611  0.0611  0.3452  4 Ag 3.00-3.22, 3 Cd 3.22-3.25
Sm  0.3575  0.3575  0.1000  3 Ag 3.08-3.15, 3 Cd 3.33-3.38
Sm  0.6425  0.6425  0.9000  3 Ag 3.08-3.15, 3 Cd 3.33-3.38
Sm  0.9389  0.9389  0.6548  4 Ag 3.00-3.22, 3 Cd 3.22-3.25
Cd  0.2684  0.2684  0.7298  3 Ag 3.09, 6 Sm 3.22-3.38
Cd  0.7316  0.7316  0.2702  3 Ag 3.09, 6 Sm 3.22-3.38
Ag  0.0000  0.0000  0.0000  6 Sm 3.11-3.15
Ag  0.3646  0.3646  0.4354  1 Ag 2.73, 1 Sm 3.00
Ag  0.6354  0.6354  0.5646  1 Ag 2.73, 1 Sm 3.00


(2)
VASP calculation (PBE) on an optimized crystal structure of Sm2Cd3Ag3.

Results
- DOS at the Fermi energy: 0.731 states/eV/atom
- Crystal system: trigonal
- Electronic total energy: -2.875 eV/atom

a = 8.6930 Å, b = 8.6930 Å, c = 8.6930 Å
α = 33.75°, β = 33.75°, γ = 33.75°
Closest atoms and distances in Å follow each position.
Fractional positions:
Sm  0.0000  0.0000  0.0000  7 Ag 3.05-3.12, 1 Cd 3.12
Sm  0.4949  0.4949  0.4949  5 Ag 3.05-3.12, 3 Cd 3.11
Cd  0.2485  0.2485  0.2485  5 Ag 2.99-3.07, 3 Cd 3.09
Cd  0.7463  0.7463  0.7463  7 Ag 3.06-3.12, 1 Cd 3.11
Cd  0.8730  0.8730  0.8730  4 Cd 3.09-3.11, 4 Sm 3.11-3.12
Ag  0.1250  0.1250  0.1250  4 Cd 3.03-3.12, 4 Sm 3.05-3.07
Ag  0.3702  0.3702  0.3702  4 Cd 2.99-3.10, 4 Sm 3.05-3.06
Ag  0.6218  0.6218  0.6218  4 Cd 3.06-3.07, 4 Sm 3.12


(3)
VASP calculation (PBE) on an optimized crystal structure of Sm8Cd2Ag.

Results
- DOS at the Fermi energy: 1.094 states/eV/atom
- Crystal system: monoclinic
- Electronic total energy: -3.963 eV/atom

a = 9.5592 Å, b = 9.5592 Å, c = 7.0973 Å
α = 104.85°, β = 104.85°, γ = 32.40°
Closest atoms and distances in Å follow each position.
Fractional positions:
Sm  0.0219  0.0219  0.2668  1 Cd 3.14, 2 Ag 3.22, 2 Sm 3.49
Sm  0.1972  0.1972  0.7947  3 Cd 3.08-3.42
Sm  0.3399  0.3399  0.5401  1 Ag 3.03, 3 Cd 3.09-3.27
Sm  0.4084  0.4084  0.0456  1 Ag 3.21, 2 Cd 3.47, 4 Sm 3.47-3.59
Sm  0.5916  0.5916  0.9544  1 Ag 3.21, 2 Cd 3.47, 4 Sm 3.47-3.59
Sm  0.6601  0.6601  0.4599  1 Ag 3.03, 3 Cd 3.09-3.27
Sm  0.8028  0.8028  0.2053  3 Cd 3.08-3.42
Sm  0.9781  0.9781  0.7332  1 Cd 3.14, 2 Ag 3.22, 2 Sm 3.49
Cd  0.1875  0.1875  0.2210  7 Sm 3.08-3.42
Cd  0.8125  0.8125  0.7790  7 Sm 3.08-3.42
Ag  0.5000  0.5000  0.5000  8 Sm 3.03-3.22


(4)
VASP calculation (PBE) on an optimized crystal structure of Sm5Cd4Ag.

Results
- DOS at the Fermi energy: 1.175 states/eV/atom
- Crystal system: tetragonal
- Electronic total energy: -3.318 eV/atom

a = 3.7924 Å, b = 3.7924 Å, c = 18.9628 Å
α = 90.00°, β = 90.00°, γ = 90.00°
Closest atoms and distances in Å follow each position.
Fractional positions:
Sm  0.0000  0.0000  0.0000  8 Cd 3.30
Sm  0.0000  0.0000  0.2022  8 Cd 3.28-3.29
Sm  0.0000  0.0000  0.4042  4 Ag 3.24, 4 Cd 3.31
Sm  0.0000  0.0000  0.5958  4 Ag 3.24, 4 Cd 3.31
Sm  0.0000  0.0000  0.7978  8 Cd 3.28-3.29
Cd  0.5000  0.5000  0.1015  8 Sm 3.29-3.30
Cd  0.5000  0.5000  0.3020  8 Sm 3.28-3.31
Cd  0.5000  0.5000  0.6980  8 Sm 3.28-3.31
Cd  0.5000  0.5000  0.8985  8 Sm 3.29-3.30
Ag  0.5000  0.5000  0.5000  8 Sm 3.24


(5)
VASP calculation (PBE) on an optimized crystal structure of SmCd11Ag.

Results
- DOS at the Fermi energy: 0.433 states/eV/atom
- Crystal system: monoclinic
- Electronic total energy: -1.469 eV/atom

a = 7.6312 Å, b = 7.6312 Å, c = 7.6302 Å
α = 98.59°, β = 98.59°, γ = 134.49°
Closest atoms and distances in Å follow each position.
Fractional positions:
Sm  0.0000  0.0000  0.0000  18 Cd 3.48-3.82, 2 Ag 3.82
Cd  0.0000  0.0000  0.5000  8 Cd 2.92-3.05, 2 Ag 2.95
Cd  0.0000  0.5000  0.0000  10 Cd 2.91-3.10
Cd  0.0081  0.3553  0.3529  8 Cd 2.99-3.31, 1 Ag 3.02
Cd  0.2931  0.5044  0.7853  1 Ag 2.88, 7 Cd 2.91-3.19
Cd  0.3553  0.0081  0.3529  8 Cd 2.99-3.31, 1 Ag 3.02
Cd  0.4956  0.7069  0.2147  1 Ag 2.88, 7 Cd 2.91-3.19
Cd  0.5000  0.0000  0.0000  10 Cd 2.91-3.10
Cd  0.5044  0.2931  0.7853  1 Ag 2.88, 7 Cd 2.91-3.19
Cd  0.6447  0.9919  0.6471  8 Cd 2.99-3.31, 1 Ag 3.02
Cd  0.7069  0.4956  0.2147  1 Ag 2.88, 7 Cd 2.91-3.19
Cd  0.9919  0.6447  0.6471  8 Cd 2.99-3.31, 1 Ag 3.02
Ag  0.5000  0.5000  0.5000  10 Cd 2.88-3.02


(6)
VASP calculation (PBE) on an optimized crystal structure of SmCd3Ag3.

Results
- DOS at the Fermi energy: 1.078 states/eV/atom
- Offset from the most stable computed form: 957 meV/atom
- Crystal system: cubic

a = 9.2255 Å, b = 9.2255 Å, c = 9.2255 Å
α = 60.00°, β = 60.00°, γ = 60.00°
Closest atoms and distances in Å follow each position.
Fractional positions:
Sm  0.2500  0.2500  0.2500  12 Cd 4.77, 12 Ag 4.80
Sm  0.7500  0.7500  0.7500  12 Cd 4.77, 12 Ag 4.80
Cd  0.1570  0.1570  0.8430  1 Ag 2.54
Cd  0.1570  0.8430  0.1570  1 Ag 2.54
Cd  0.1570  0.8430  0.8430  1 Ag 2.54
Cd  0.8430  0.1570  0.1570  1 Ag 2.54
Cd  0.8430  0.1570  0.8430  1 Ag 2.54
Cd  0.8430  0.8430  0.1570  1 Ag 2.54
Ag  0.3520  0.3520  0.6480  1 Cd 2.54, 4 Ag 2.73
Ag  0.3520  0.6480  0.3520  1 Cd 2.54, 4 Ag 2.73
Ag  0.3520  0.6480  0.6480  1 Cd 2.54, 4 Ag 2.73
Ag  0.6480  0.3520  0.3520  1 Cd 2.54, 4 Ag 2.73
Ag  0.6480  0.3520  0.6480  1 Cd 2.54, 4 Ag 2.73
Ag  0.6480  0.6480  0.3520  1 Cd 2.54, 4 Ag 2.73